Rb2ScCrF6 | PBE+U | optimized geometry

Computed properties:
Density of states at the Fermi level   0.00 states/eV per atom
VASP energy   -113.9 eV per cell

abc: 6.327 6.327 8.671
angles: 90.00 90.00 90.00
Space group I4/mmm (No. 139)
Inequivalent atoms, fractional coordinates:
1 Rb 0.000 0.500 0.250
2 Sc 0.000 0.000 0.000
3 Cr 0.000 0.000 0.500
4 F 0.000 0.000 0.236
5 F 0.228 0.228 0.000